(1)
## Ta2NiOsN (GGA-PBE)

Data for a relaxed structure of Ta2NiOsN.

ΔE_f (raw): -0.43 eV per atom
Total magnetic moment: 0.0 μB/f.u.
Final energy: -10.240 eV per atom

```
data_Ta2NiOsN
_chemical_formula_sum 'Ta2 Ni1 Os1 N1'
_space_group_name_H-M_alt 'P 4/m m m'
_space_group_IT_number 123
_space_group_name_Hall '-P 4 2'
_cell_length_a 4.2136
_cell_length_b 4.2136
_cell_length_c 3.7964
_cell_angle_alpha 90.00
_cell_angle_beta 90.00
_cell_angle_gamma 90.00
loop_
_atom_site_label
_atom_site_type_symbol
_atom_site_fract_x
_atom_site_fract_y
_atom_site_fract_z
Ta1 Ta 0.0000 0.5000 0.0000
Ni1 Ni 0.0000 0.0000 0.5000
Os1 Os 0.5000 0.5000 0.5000
N1 N 0.0000 0.0000 0.0000
```

(2)
## Mo3W (GGA-PBE)

Data for a relaxed structure of Mo3W.

Energy above the lowest structure with this stoichiometry: 1.81 eV per formula unit
Total magnetic moment: 0.0 μB/f.u.
Final energy: -10.929 eV per atom
Formation enthalpy at 0 K: 0.4331 eV/atom

```
data_Mo3W
_chemical_formula_sum 'Mo6 W2'
_space_group_name_H-M_alt 'P 63/m m c'
_space_group_IT_number 194
_space_group_name_Hall '-P 6c 2c'
_cell_length_a 5.5365
_cell_length_b 5.5365
_cell_length_c 4.9056
_cell_angle_alpha 90.00
_cell_angle_beta 90.00
_cell_angle_gamma 120.00
loop_
_atom_site_label
_atom_site_type_symbol
_atom_site_fract_x
_atom_site_fract_y
_atom_site_fract_z
Mo1 Mo 0.1668 0.3337 0.2500
W1 W 0.3333 0.6667 0.7500
```

(3)
## Ho4U (GGA-PBE)

Data for a relaxed structure of Ho4U.

Total magnetic moment: 4.8 μB/f.u.
Final energy: -5.068 eV per atom
Formation enthalpy at 0 K: 0.8521 eV/atom

```
data_Ho4U
_chemical_formula_sum 'Ho4 U1'
_space_group_name_H-M_alt 'P m -3 m'
_space_group_IT_number 221
_space_group_name_Hall '-P 4 2 3'
_cell_length_a 5.5351
_cell_length_b 5.5351
_cell_length_c 5.5351
_cell_angle_alpha 90.00
_cell_angle_beta 90.00
_cell_angle_gamma 90.00
loop_
_atom_site_label
_atom_site_type_symbol
_atom_site_fract_x
_atom_site_fract_y
_atom_site_fract_z
Ho1 Ho 0.0000 0.0000 0.0000
Ho2 Ho 0.0000 0.5000 0.5000
U1 U 0.5000 0.5000 0.5000
```